Record 1
Density functional theory data (PBE) for a geometry-optimized Hf3InB structure.

Calculated values
N(E_F) (states/eV/f.u.): 1.73
Magnetic moment (Bohr magnetons per cell): 0.00

Cell: 4.7972 7.7858 5.5911 Å, 77.65 70.21 80.05°
Last column: nearest neighbours and their distance in Å.
Sites, in units of the cell vectors:
Hf 0.2946 0.7087 0.2538  3 B 2.40-2.58
Hf 0.3420 0.8815 0.6656  3 B 2.40-2.58
Hf 0.6944 0.5052 0.5839  1 B 2.34
Hf 0.9461 0.5910 0.9696  2 B 2.47-2.57
Hf 0.9422 0.0850 0.3355  1 B 2.34
Hf 0.6905 0.9991 0.9498  2 B 2.47-2.57
In 0.4432 0.3363 0.1783  2 In 2.93-3.28, 7 Hf 2.95-3.20
In 0.1934 0.2538 0.7410  2 In 2.93-3.28, 7 Hf 2.95-3.20
B 0.7607 0.7839 0.3240  1 B 1.83
B 0.8759 0.8063 0.5954  1 B 1.83

Record 2
Density functional theory data (PBE) for a geometry-optimized Hf3InB structure.

Calculated values
N(E_F) (states/eV/f.u.): 4.01
Magnetic moment (Bohr magnetons per cell): 0.00

Cell: 11.7302 8.2973 8.2973 Å, 79.07 123.54 56.46°
Last column: nearest neighbours and their distance in Å.
Sites, in units of the cell vectors:
In 0.9585 0.4653 0.6554  8 Hf 3.13-3.42, 3 In 3.28-3.30
In 0.4585 0.8446 0.0347  8 Hf 3.13-3.42, 3 In 3.28-3.30
In 0.5415 0.1554 0.9653  8 Hf 3.13-3.42, 3 In 3.28-3.30
In 0.0415 0.5347 0.3446  8 Hf 3.13-3.42, 3 In 3.28-3.30
B 0.2500 0.5468 0.0468  6 Hf 2.31-2.36
B 0.7500 0.1822 0.6822  6 Hf 2.34-2.37
B 0.2500 0.8178 0.3178  6 Hf 2.34-2.37
B 0.7500 0.4532 0.9532  6 Hf 2.31-2.36
Hf 0.0919 0.2306 0.1622  2 B 2.33-2.34
Hf 0.6007 0.5897 0.5461  3 B 2.35-2.37
Hf 0.4404 0.1165 0.2509  1 B 2.31
Hf 0.9404 0.2491 0.3835  1 B 2.31
Hf 0.5919 0.3378 0.2694  2 B 2.33-2.34
Hf 0.8993 0.0461 0.0897  3 B 2.35-2.37
Hf 0.9081 0.7694 0.8378  2 B 2.33-2.34
Hf 0.4081 0.6622 0.7306  2 B 2.33-2.34
Hf 0.5596 0.8835 0.7491  1 B 2.31
Hf 0.1007 0.9539 0.9103  3 B 2.35-2.37
Hf 0.0596 0.7509 0.6165  1 B 2.31
Hf 0.3993 0.4103 0.4539  3 B 2.35-2.37

Number 1: energy of formation -239 meV per atom. Number 2: energy of formation -259 meV per atom.